Computed, not measured: a relaxed MgFe3As crystal at the PBE-GGA level of DFT.

The structure in POSCAR format:
```
MgFe3As
1.0
4.451 0.000 0.000
0.000 4.451 0.000
0.000 0.000 4.451
Fe As Mg
3 1 1
Direct
0.000 0.000 0.500
0.500 0.000 0.000
0.000 0.500 0.000
0.500 0.500 0.500
0.000 0.000 0.000
```

Output
energy of formation from the pure elements: 7.388 eV per formula unit
density of states at the Fermi level: 2.114 states/eV per atom
magnetic moment: 8.22 μB per cell

***

Computed, not measured: a relaxed Tm5HgBi crystal at the PBE-GGA level of DFT.

The structure in POSCAR format:
```
Tm5HgBi
1.0
-5.463 -1.952 -2.962
0.097 -4.757 -4.448
-2.921 -9.286 6.604
Tm Hg Bi
10 2 2
Direct
0.353 0.114 0.342
0.886 0.647 0.158
0.758 0.532 0.443
0.647 0.886 0.658
0.114 0.353 0.842
0.886 0.114 0.250
0.242 0.468 0.557
0.468 0.242 0.057
0.532 0.758 0.943
0.114 0.886 0.750
0.000 0.000 0.500
0.000 0.000 0.000
0.614 0.386 0.750
0.386 0.614 0.250
```

Output
energy of formation from the pure elements: -0.953 eV per formula unit
density of states at the Fermi level: 1.061 states/eV per atom
magnetic moment: 0.00 μB per cell

***

Computed, not measured: a relaxed KCoRuRh2 crystal at the PBE-GGA level of DFT.

The structure in POSCAR format:
```
KCoRuRh2
1.0
4.680 0.000 0.000
0.000 5.457 0.000
0.000 0.000 4.680
Rh K Co Ru
2 1 1 1
Direct
0.500 0.000 0.000
0.000 0.000 0.500
0.000 0.500 0.000
0.500 0.500 0.500
0.000 0.000 0.000
```

Output
energy of formation from the pure elements: 8.691 eV per formula unit
density of states at the Fermi level: 2.244 states/eV per atom
magnetic moment: 2.17 μB per cell

***

Computed, not measured: a relaxed CdSi4Rh crystal at the PBE-GGA level of DFT.

The structure in POSCAR format:
```
CdSi4Rh
1.0
0.000 3.626 3.626
3.626 0.000 3.626
3.626 3.626 0.000
Si Rh Cd
4 1 1
Direct
0.123 0.626 0.626
0.626 0.123 0.626
0.626 0.626 0.123
0.626 0.626 0.626
0.000 0.000 0.000
0.250 0.250 0.250
```

Output
E_form (uncorrected): 2.53 eV per formula unit
density of states at the Fermi level: 0.640 states/eV per atom
magnetic moment: 0.00 μB per cell

***

Computed, not measured: a relaxed BaYAg2 crystal at the PBE-GGA level of DFT.

The structure in POSCAR format:
```
BaYAg2
1.0
5.025 0.000 0.000
0.000 4.000 0.319
0.000 1.516 6.143
Ba Ag Y
1 2 1
Direct
0.000 0.478 0.420
0.000 0.205 0.963
0.500 0.061 0.254
0.500 0.755 0.864
```

Output
energy of formation from the pure elements: -0.628 eV per formula unit
density of states at the Fermi level: 0.788 states/eV per atom
magnetic moment: 0.00 μB per cell

***

Computed, not measured: a relaxed AsIrW crystal at the PBE-GGA level of DFT.

The structure in POSCAR format:
```
AsIrW
1.0
-1.220 -4.004 0.788
2.295 -2.448 2.625
-1.541 -1.042 3.832
Ir As W
1 1 1
Direct
0.750 0.750 0.750
0.500 0.500 0.500
0.000 0.000 0.000
```

Output
energy of formation from the pure elements: 0.951 eV per formula unit
density of states at the Fermi level: 0.831 states/eV per atom
magnetic moment: 0.00 μB per cell

***

Computed, not measured: a relaxed AcTiGe2O8 crystal at the PBE-GGA level of DFT.

The structure in POSCAR format:
```
AcTiGe2O8
1.0
-3.951 -0.916 2.713
-1.433 -4.604 0.745
2.527 -2.186 7.330
O Ti Ac Ge
8 1 1 2
Direct
0.319 0.319 0.043
0.138 0.762 0.667
0.238 0.862 0.333
0.681 0.681 0.957
0.862 0.567 0.333
0.433 0.138 0.667
0.567 0.238 0.333
0.762 0.433 0.667
0.500 0.500 0.500
0.000 0.000 0.000
0.758 0.758 0.725
0.242 0.242 0.275
```

Output
E_form (uncorrected): -25.17 eV per formula unit
density of states at the Fermi level: 0.529 states/eV per atom
magnetic moment: 1.04 μB per cell

***

Computed, not measured: a relaxed Tb2CeRu4 crystal at the PBE-GGA level of DFT.

The structure in POSCAR format:
```
Tb2CeRu4
1.0
-2.766 1.211 4.867
3.577 -4.381 0.905
2.944 4.612 -1.694
Ce Ru Tb
1 4 2
Direct
0.000 0.000 0.000
0.000 0.000 0.500
0.000 0.500 0.000
0.500 0.000 0.000
0.500 0.500 0.500
0.500 0.000 0.500
0.500 0.500 0.000
```

Output
energy of formation from the pure elements: 1.564 eV per formula unit
density of states at the Fermi level: 1.097 states/eV per atom
magnetic moment: 0.00 μB per cell

***

Computed, not measured: a relaxed Na2ZnIn crystal at the PBE-GGA level of DFT.

The structure in POSCAR format:
```
Na2ZnIn
1.0
-1.320 -0.734 4.817
3.983 -1.681 0.835
1.482 4.019 1.019
Na In Zn
2 1 1
Direct
0.000 0.500 0.000
0.000 0.000 0.500
0.500 0.500 0.500
0.500 0.000 0.000
```

Output
energy of formation from the pure elements: 0.065 eV per formula unit
density of states at the Fermi level: 0.586 states/eV per atom
magnetic moment: 0.00 μB per cell

***

Computed, not measured: a relaxed MnSe2Cl crystal at the PBE-GGA level of DFT.

The structure in POSCAR format:
```
MnSe2Cl
1.0
3.564 0.000 0.000
0.000 4.463 -0.005
0.000 0.378 7.270
Se Mn Cl
2 1 1
Direct
0.500 0.239 0.007
0.000 0.734 0.066
0.500 0.754 0.823
0.000 0.773 0.604
```

Output
E_form (uncorrected): -1.53 eV per formula unit
density of states at the Fermi level: 0.469 states/eV per atom
magnetic moment: 3.72 μB per cell

***

Computed, not measured: a relaxed Ba4C crystal at the PBE-GGA level of DFT.

The structure in POSCAR format:
```
Ba4C
1.0
4.746 -0.806 4.198
-2.755 -5.635 -1.207
2.343 2.429 -5.423
Ba C
4 1
Direct
0.500 0.500 0.500
0.500 0.000 0.000
0.000 0.500 0.000
0.000 0.000 0.500
0.000 0.000 0.000
```

Output
energy of formation from the pure elements: 3.240 eV per formula unit
density of states at the Fermi level: 1.236 states/eV per atom
magnetic moment: 0.00 μB per cell

***

Computed, not measured: a relaxed In12Hg7Pb crystal at the PBE-GGA level of DFT.

The structure in POSCAR format:
```
In12Hg7Pb
1.0
8.794 -0.163 -0.245
-2.602 8.402 -0.245
-2.602 -3.462 7.659
In Hg Pb
12 7 1
Direct
0.620 0.522 0.192
0.840 0.317 0.099
0.478 0.808 0.380
0.192 0.620 0.522
0.317 0.099 0.840
0.683 0.901 0.160
0.099 0.840 0.317
0.522 0.192 0.620
0.901 0.160 0.683
0.380 0.478 0.808
0.160 0.683 0.901
0.808 0.380 0.478
0.081 0.199 0.422
0.500 0.500 0.500
0.199 0.422 0.081
0.919 0.801 0.578
0.578 0.919 0.801
0.422 0.081 0.199
0.801 0.578 0.919
0.000 0.000 0.000
```

Output
energy of formation from the pure elements: 0.675 eV per formula unit
density of states at the Fermi level: 0.422 states/eV per atom
magnetic moment: 0.00 μB per cell

***

Computed, not measured: a relaxed AlInBi2 crystal at the PBE-GGA level of DFT.

The structure in POSCAR format:
```
AlInBi2
1.0
6.648 0.000 0.000
0.000 6.648 0.000
3.324 3.324 6.629
Bi Al In
4 2 2
Direct
0.875 0.854 0.750
0.375 0.396 0.750
0.604 0.125 0.250
0.146 0.625 0.250
0.500 0.500 0.000
0.250 0.750 0.500
0.750 0.250 0.500
0.000 0.000 0.000
```

Output
energy of formation from the pure elements: 0.196 eV per formula unit
density of states at the Fermi level: 0.004 states/eV per atom
magnetic moment: 0.00 μB per cell

***

Computed, not measured: a relaxed Ga2RePb crystal at the PBE-GGA level of DFT.

The structure in POSCAR format:
```
Ga2RePb
1.0
4.326 0.000 0.000
0.000 4.326 0.000
2.163 2.163 9.047
Re Pb Ga
2 2 4
Direct
0.250 0.750 0.500
0.500 0.500 0.000
0.750 0.250 0.500
0.000 0.000 0.000
0.540 0.125 0.250
0.210 0.625 0.250
0.875 0.790 0.750
0.375 0.460 0.750
```

Output
energy of formation from the pure elements: 2.725 eV per formula unit
density of states at the Fermi level: 0.855 states/eV per atom
magnetic moment: 2.34 μB per cell

***

Computed, not measured: a relaxed Cs3Pu3TlS8 crystal at the PBE-GGA level of DFT.

The structure in POSCAR format:
```
Cs3Pu3TlS8
1.0
8.311 -0.024 0.003
-4.176 7.184 -0.024
0.017 -4.757 8.042
S Cs Pu Tl
8 3 3 1
Direct
0.727 0.452 0.679
0.273 0.548 0.321
0.297 0.060 0.321
0.238 0.475 0.679
0.703 0.940 0.679
0.762 0.525 0.321
0.240 0.939 0.678
0.760 0.061 0.322
0.000 0.500 0.000
0.500 0.500 0.000
0.000 0.000 0.000
0.000 0.500 0.500
0.500 0.500 0.500
0.500 0.000 0.500
0.000 0.000 0.500
```

Output
E_form (uncorrected): -18.78 eV per formula unit
density of states at the Fermi level: 2.236 states/eV per atom
magnetic moment: 4.36 μB per cell

***

Computed, not measured: a relaxed AlCo3Ni crystal at the PBE-GGA level of DFT.

The structure in POSCAR format:
```
AlCo3Ni
1.0
-4.062 -0.899 -0.794
-0.108 -2.520 3.403
-1.195 3.284 2.394
Co Al Ni
3 1 1
Direct
0.000 0.000 0.500
0.000 0.500 0.000
0.500 0.000 0.000
0.500 0.500 0.500
0.000 0.000 0.000
```

Output
energy of formation from the pure elements: 4.637 eV per formula unit
density of states at the Fermi level: 1.580 states/eV per atom
magnetic moment: 5.87 μB per cell

***

Computed, not measured: a relaxed Ti3Br7Cl crystal at the PBE-GGA level of DFT.

The structure in POSCAR format:
```
Ti3Br7Cl
1.0
-0.203 4.407 5.441
-7.161 0.222 -0.447
3.188 -4.939 4.119
Ti Br Cl
3 7 1
Direct
0.778 0.047 0.523
0.778 0.477 0.523
0.778 0.477 0.953
0.577 0.833 0.167
0.577 0.334 0.167
0.577 0.833 0.666
0.011 0.168 0.336
0.981 0.667 0.333
0.011 0.168 0.832
0.011 0.664 0.832
0.534 0.333 0.667
```

Output
E_form (uncorrected): -13.55 eV per formula unit
density of states at the Fermi level: 0.079 states/eV per atom
magnetic moment: 1.93 μB per cell

***

Computed, not measured: a relaxed CaIn2Te4 crystal at the PBE-GGA level of DFT.

The structure in POSCAR format:
```
CaIn2Te4
1.0
-6.241 -1.259 2.503
2.407 -4.559 -4.498
4.732 -6.110 8.725
Ca Te In
2 8 4
Direct
0.500 0.500 0.750
0.500 0.500 0.250
0.500 0.000 0.689
0.780 0.652 0.500
0.000 0.500 0.189
0.220 0.348 0.500
0.348 0.220 0.000
0.500 0.000 0.311
0.000 0.500 0.811
0.652 0.780 0.000
0.224 0.768 0.000
0.232 0.776 0.500
0.776 0.232 0.000
0.768 0.224 0.500
```

Output
E_form (uncorrected): -4.63 eV per formula unit
magnetic moment: 0.00 μB per cell

***

Computed, not measured: a relaxed LaCdBr2Cl crystal at the PBE-GGA level of DFT.

The structure in POSCAR format:
```
LaCdBr2Cl
1.0
-4.716 3.422 2.416
-2.624 -0.975 -3.742
-2.236 -5.133 2.905
Cl Br La Cd
1 2 1 1
Direct
0.000 0.000 0.000
0.000 0.000 0.500
0.500 0.000 0.000
0.500 0.500 0.500
0.000 0.500 0.000
```

Output
E_form (uncorrected): -1.63 eV per formula unit
density of states at the Fermi level: 1.459 states/eV per atom
magnetic moment: 1.07 μB per cell

***

Computed, not measured: a relaxed PuMgNi2Ge2 crystal at the PBE-GGA level of DFT.

The structure in POSCAR format:
```
PuMgNi2Ge2
1.0
-3.378 -0.549 2.353
1.608 -3.200 -2.103
3.935 -1.505 5.298
Ge Pu Ni Mg
2 1 2 1
Direct
0.333 0.667 0.274
0.667 0.333 0.726
0.000 0.000 0.000
0.333 0.667 0.666
0.667 0.333 0.334
0.000 0.000 0.500
```

Output
energy of formation from the pure elements: -2.604 eV per formula unit
density of states at the Fermi level: 1.968 states/eV per atom
magnetic moment: 5.35 μB per cell